# 1
{
  "formula": "MoW",
  "functional": "PBE-GGA",
  "state": "optimized geometry",
  "cell": [[2.7718, 0.0000, 0.0000], [-1.3859, 2.4004, 0.0000], [0.0000, 0.0000, 4.9219]],
  "species": ["W", "Mo"],
  "frac_coords": [[0.3333, 0.6667, 0.5000], [0.0000, 0.0000, 0.0000]],
  "formation_enthalpy_0k_kj_per_mol_atoms": 43.14,
  "sg": "No. 187"
}

***

# 2
{
  "formula": "MoW3",
  "functional": "PBE-GGA",
  "state": "optimized geometry",
  "cell": [[-4.1201, 0.2256, -2.3875], [-0.6596, -5.1443, 0.6522], [-2.5688, 0.9022, 4.5183]],
  "species": ["W", "W", "Mo", "Mo", "W", "W", "W", "W"],
  "frac_coords": [[0.5000, 0.2507, 0.1511], [0.5000, 0.7493, 0.1511], [0.0000, 0.0000, 0.3487], [0.5000, 0.5000, 0.6513], [0.5000, 0.0000, 0.6528], [0.0000, 0.5000, 0.3472], [0.0000, 0.2493, 0.8489], [0.0000, 0.7507, 0.8489]],
  "formation_enthalpy_0k_kj_per_mol_atoms": 40.15,
  "sg": "No. 59"
}

***

# 3
{
  "formula": "Mo2W",
  "functional": "PBE-GGA",
  "state": "optimized geometry",
  "cell": [[-3.8683, 0.9439, -2.0624], [1.0043, -2.9474, -3.2325], [-0.2143, -3.9175, 3.5054]],
  "species": ["Mo", "W", "Mo", "W", "Mo", "Mo"],
  "frac_coords": [[0.2497, 0.2500, 0.4994], [0.9165, 0.2500, 0.8329], [0.4169, 0.7500, 0.8336], [0.0835, 0.7500, 0.1671], [0.7503, 0.7500, 0.5006], [0.5831, 0.2500, 0.1664]],
  "formation_enthalpy_0k_kj_per_mol_atoms": -1.59,
  "sg": "No. 11"
}